Below is a crystal of P4SeO6 relaxed with PBEsol, with properties calculated at the SCAN level.

Cell and atoms, written as CIF:
```
data_P4SeO6
_cell_length_a 10.298
_cell_length_b 6.381
_cell_length_c 11.683
_cell_angle_alpha 90.00
_cell_angle_beta 108.21
_cell_angle_gamma 90.00
_symmetry_space_group_name_H-M 'P 1 21/c 1'
_symmetry_Int_Tables_number 14
loop_
_symmetry_equiv_pos_as_xyz
'x,y,z'
'-x,-y,-z'
'-x,y+1/2,-z+1/2'
'x,-y+1/2,z+1/2'
loop_
_atom_site_label
_atom_site_type_symbol
_atom_site_fract_x
_atom_site_fract_y
_atom_site_fract_z
P1 P 0.061 0.237 0.450
P2 P 0.162 0.033 0.775
P3 P 0.293 0.524 0.532
P4 P 0.331 0.128 0.421
Se1 Se 0.389 0.735 0.664
O1 O 0.040 0.135 0.822
O2 O 0.155 0.080 0.045
O3 O 0.184 0.075 0.447
O4 O 0.242 0.614 0.396
O5 O 0.270 0.229 0.797
O6 O 0.384 0.175 0.022
```

Values from the calculation:
Uncorrected formation energy = -1554 meV/atom
VASP energy = -10.5592 eV/atom